[1]
4
Lattice="0.0000 3.4547 3.4547 3.4547 0.0000 3.4547 3.4547 3.4547 0.0000" Properties=species:S:1:pos:R:3 comment="PmHoBeRu, optimized geometry, DFT PBE" energy_ev_per_atom=-5.652 magmom_total_mub_per_fu=0.0 formation_enthalpy_0k_ev_per_atom=-0.0690 pbc="T T T"
Pm 0.0000 0.0000 0.0000
Ho 3.4547 3.4547 3.4547
Be 5.1821 5.1821 5.1821
Ru 1.7274 1.7274 1.7274



[2]
4
Lattice="1.9544 1.1284 6.6255 -1.9544 1.1284 6.6255 0.0000 -2.2568 6.6255" Properties=species:S:1:pos:R:3 comment="Sc2BeSb, optimized geometry, DFT PBE" energy_ev_per_atom=-5.222 magmom_total_mub_per_fu=0.0 polymorph_energy_ev_per_atom=0.380 raw_formation_energy_ev_per_atom=-0.094 pbc="T T T"
Sc 0.0000 0.0000 0.0000
Sc 0.0000 0.0000 4.1090
Be 0.0000 0.0000 9.1093
Sb 0.0000 0.0000 15.2133



[3]
5
Lattice="2.6076 -3.4466 0.0000 2.6076 3.4466 0.0000 0.0000 0.0000 6.9118" Properties=species:S:1:pos:R:3 comment="Li2CaTl2, optimized geometry, DFT PBE" energy_ev_per_atom=-2.300 magmom_total_mub_per_fu=0.0 polymorph_energy_ev_per_atom=0.079 formation_enthalpy_0k_ev_per_atom=-0.1881 pbc="T T T"
Li 2.6076 2.2263 0.0000
Li 2.6076 -2.2263 0.0000
Ca 0.0000 0.0000 3.4559
Tl 2.6076 0.0000 1.6599
Tl 2.6076 0.0000 5.2519



[4]
12
Lattice="8.3896 -3.7119 0.0000 8.3896 3.7119 0.0000 -2.7984 0.0000 6.8396" Properties=species:S:1:pos:R:3 comment="CsAlS4, optimized geometry, DFT PBE" energy_ev_per_atom=-4.159 magmom_total_mub_per_fu=0.0 raw_formation_energy_ev_per_atom=-0.641 pbc="T T T"
Cs 2.9281 0.0000 1.4819
Cs 11.0526 0.0000 5.3577
Al 4.3635 0.0000 6.1897
Al 9.6172 0.0000 0.6500
S 6.1503 2.4533 2.9795
S 7.8304 2.4533 3.8601
S 8.3896 1.7345 0.0000
S 2.4678 0.0000 5.2565
S 11.5130 0.0000 1.5831
S 8.3896 -1.7345 0.0000
S 6.1503 -2.4533 2.9795
S 7.8304 -2.4533 3.8601



[5]
8
Lattice="7.6931 0.0000 0.0000 0.0000 4.4229 0.0000 -2.5429 0.0000 8.5250" Properties=species:S:1:pos:R:3 comment="K2ThPaTe4, optimized geometry, DFT PBE" energy_ev_per_atom=-5.002 magmom_total_mub_per_fu=2.2 raw_formation_energy_ev_per_atom=-1.043 pbc="T T T"
K 0.0000 0.0000 0.0000
K 3.8466 2.2115 0.0000
Th -1.2714 2.2115 4.2625
Pa 2.5751 0.0000 4.2625
Te 0.0432 0.0000 6.1351
Te 1.3142 2.2115 2.4072
Te 3.8361 2.2115 6.1177
Te 5.1071 0.0000 2.3899



[6]
4
Lattice="3.1665 0.0000 0.0000 0.0000 4.0506 0.0000 -1.1697 0.0000 6.1403" Properties=species:S:1:pos:R:3 comment="SrFeSi2, optimized geometry, DFT PBE" energy_ev_per_atom=-5.220 magmom_total_mub_per_fu=2.2 raw_formation_energy_ev_per_atom=0.027 pbc="T T T"
Sr 0.0000 0.0000 0.0000
Fe 0.9984 0.0000 3.0702
Si 0.2745 2.0253 4.0710
Si 1.7223 2.0253 2.0693